No. 1
The following is a DFT calculation (PBE) of a relaxed structure of RbNa2TiBr6.

Structure (extended XYZ):
```
10
Lattice="-3.7366 -3.8335 -5.2536 1.7665 -7.1666 -1.4038 -5.1896 -5.6970 2.4657" Properties=species:S:1:pos:R:3 pbc="T T T"
Rb -4.5809 -12.1678 -3.9486
Na -3.2879 -8.2171 -2.3993
Na -5.1600 -5.6805 2.4270
Ti -0.7135 -3.6846 -2.1678
Br -2.7507 -5.2567 -2.7073
Br -0.4229 -9.2050 -2.1633
Br -3.8098 -8.9299 -5.2944
Br -4.1120 -10.8255 -0.9544
Br -6.3771 -8.2772 -2.0194
Br -3.9958 -7.6051 0.5590
```

The uncorrected formation energy is -1364 kJ/mol of formula units. For the calculated volume, the calculation gives 33.29 Å³ per atom.

---

No. 2
The following is a DFT calculation (PBE) of a relaxed structure of Rb3NaTl2Br9.

Structure (extended XYZ):
```
15
Lattice="8.0755 0.0000 0.0000 -4.0378 6.9936 0.0000 0.0000 0.0000 9.9697" Properties=species:S:1:pos:R:3 pbc="T T T"
Rb 0.0000 4.6624 6.4612
Rb 0.0000 0.0000 0.0000
Rb 4.0378 2.3312 3.5085
Na 0.0000 0.0000 4.9848
Tl 0.0000 4.6624 1.7070
Tl 4.0378 2.3312 8.2626
Br 6.0505 1.1691 6.6950
Br 4.0378 4.6553 6.6950
Br 2.0250 1.1691 6.6950
Br 2.0127 5.8245 3.2747
Br 0.0000 2.3383 3.2747
Br -2.0127 5.8245 3.2747
Br 4.0378 0.0000 0.0000
Br -2.0189 3.4968 0.0000
Br 2.0189 3.4968 0.0000
```

The uncorrected formation energy is -1649 kJ/mol of formula units. For the calculated volume, the calculation gives 37.54 Å³ per atom.

---

No. 3
The following is a DFT calculation (PBE) of a relaxed structure of RbNa2Tl3Br6.

Structure (extended XYZ):
```
12
Lattice="-3.3840 -0.6719 -3.0827 5.2640 -6.3985 -4.3838 -3.4514 -5.0893 8.3699" Properties=species:S:1:pos:R:3 pbc="T T T"
Rb -1.6920 -0.3360 -1.5414
Na -1.5941 -8.1183 0.0475
Na 0.0227 -4.0415 0.8559
Tl 0.9400 -3.5352 -3.7333
Tl -4.2081 -5.0757 2.2537
Tl 2.6367 -7.0840 -1.3503
Br 1.3302 -9.2388 0.5536
Br -0.4854 -5.8877 -1.6558
Br -2.9016 -2.9209 0.3498
Br 1.2055 -1.8955 -0.9102
Br -2.7769 -10.2642 1.8136
Br -1.0860 -6.2720 2.5592
```

The uncorrected formation energy is -1415 kJ/mol of formula units. For the calculated volume, the calculation gives 35.57 Å³ per atom.

---

No. 4
The following is a DFT calculation (PBE) of a relaxed structure of RbNa2TlBr4.

Structure (extended XYZ):
```
8
Lattice="4.5208 0.0000 0.0000 0.0000 8.0341 -0.2344 0.0000 2.7539 7.3219" Properties=species:S:1:pos:R:3 pbc="T T T"
Rb 2.2604 4.0171 -0.1172
Na 0.0000 2.7539 7.3219
Na 2.2604 1.3770 3.6610
Tl 0.0000 5.3940 3.5438
Br 0.0001 8.3331 5.1942
Br 4.5208 2.4549 1.8933
Br 2.2604 6.9628 1.5894
Br 2.2604 3.8253 5.4982
```

The uncorrected formation energy is -1091 kJ/mol of formula units. For the calculated volume, the calculation gives 33.61 Å³ per atom.

---

No. 5
The following is a DFT calculation (PBE) of a relaxed structure of Rb4NaTl3Br8.

Structure (extended XYZ):
```
16
Lattice="-1.2319 -3.1190 -9.0363 -7.8774 -4.7708 2.7206 0.7935 9.4407 1.7736" Properties=species:S:1:pos:R:3 pbc="T T T"
Rb -0.6159 -1.5595 -4.5182
Rb -0.2192 3.1608 -3.6314
Rb 0.0000 0.0000 0.0000
Rb 0.3968 4.7204 0.8868
Na -3.9387 -2.3854 1.3603
Tl -4.5546 -3.9449 -3.1579
Tl -4.1579 0.7754 -2.2710
Tl -3.5419 2.3350 2.2471
Br -5.2675 5.1668 1.6188
Br -5.6882 0.2469 0.6903
Br -1.9324 2.7513 -0.6862
Br -5.9107 3.5382 -3.0996
Br -2.4050 -1.9873 -1.4425
Br -6.3833 -1.2005 -3.8559
Br -2.6275 1.3040 -5.2323
Br -3.0482 -3.6159 -6.1609
```

The uncorrected formation energy is -2134 kJ/mol of formula units. For the calculated volume, the calculation gives 39.35 Å³ per atom.

---

No. 6
The following is a DFT calculation (PBE) of a relaxed structure of Rb2NaTl3Br6.

Structure (extended XYZ):
```
12
Lattice="8.2512 0.0082 -0.0058 -4.1165 7.1511 -0.0058 -1.3845 -2.3973 7.7466" Properties=species:S:1:pos:R:3 pbc="T T T"
Rb 0.0140 4.7655 -0.0058
Rb 4.1208 2.3937 -0.0058
Na 0.0000 0.0000 0.0000
Tl -2.7386 4.7568 3.8675
Tl 5.4888 0.0052 3.8675
Tl 1.3751 2.3810 3.8675
Br 3.9966 2.5961 5.8972
Br 2.8527 4.9395 1.9366
Br -1.2464 2.1659 1.8378
Br 0.2513 4.7591 5.8972
Br -0.1025 -0.1775 5.7984
Br 2.4989 0.0029 1.8378
```

The uncorrected formation energy is -1459 kJ/mol of formula units. For the calculated volume, the calculation gives 38.09 Å³ per atom.

---

Record order is preserved below.
Total DFT energy (no corrections): -35.68; -41.10; -35.40; -23.97; -47.79; -35.51 eV per cell